1.
Entry from Alexandria via LeMat-Bulk: a relaxed structure of BeSiSb2 (PBE).

a b c (Å): 3.9022 5.5348 7.7178
angles (deg): 90.00 90.00 90.00
Last column: nearest neighbours and their distance in Å.
Space group Immm (No. 71)
Unique sites:
Be: 0.0000 0.0000 0.0000 x2  4 Sb 2.57
Si: 0.0000 0.0000 0.5000 x2  8 Sb 2.93-3.24
Sb: 0.0000 0.5000 0.2826 x4  2 Be 2.57

**Energy relative to the elements, uncorrected**: 0.591 eV/atom
**Density**: 5.59 g/cm³

---

2.
Entry from Alexandria via LeMat-Bulk: a relaxed structure of BiOsCl2 (PBE).

a b c (Å): 6.9044 6.9044 9.3075
angles (deg): 90.00 90.00 90.00
Last column: nearest neighbours and their distance in Å.
Space group I-42d (No. 122)
Unique sites:
Bi: 0.0000 0.0000 0.0000 x4  4 Cl 3.32
Os: 0.0000 0.0000 0.5000 x4  4 Cl 2.26
Cl: 0.1261 0.2500 0.6250 x8  2 Os 2.26

**Relative energy among the computed polymorphs**: 564 meV/atom
**Energy relative to the elements, uncorrected**: 0.915 eV/atom
**Density**: 7.04 g/cm³

---

3.
Entry from Alexandria via LeMat-Bulk: a relaxed structure of LiAcCrN3 (PBE).

a b c (Å): 5.5692 10.3983 5.2364
angles (deg): 90.00 100.16 90.00
Last column: nearest neighbours and their distance in Å.
Space group C2/c (No. 15)
Unique sites:
Li: 0.0000 0.0663 0.2500 x4  5 N 2.08-2.24
Ac: 0.0000 0.2295 0.7500 x4  8 N 2.67-2.81
Cr: 0.0000 0.4568 0.2500 x4  3 N 1.80-1.83
N: 0.0000 0.2809 0.2500 x4  1 Cr 1.83
N: 0.2261 0.4546 0.9702 x8  1 Cr 1.80

**Energy relative to the elements, uncorrected**: -0.787 eV/atom
**Density**: 7.30 g/cm³

---

4.
Entry from Alexandria via LeMat-Bulk: a relaxed structure of AsIrS (PBE).

a b c (Å): 3.7602 5.0950 6.0522
angles (deg): 81.82 83.43 77.46
Last column: nearest neighbours and their distance in Å.
Space group P-1 (No. 2)
Unique sites:
As: 0.1603 0.2394 0.0582 x2  3 Ir 2.52-2.56, 1 As 2.70
Ir: 0.3046 0.9964 0.7107 x2  3 S 2.34-2.41, 3 As 2.52-2.56
S: 0.2518 0.7377 0.4308 x2  3 Ir 2.34-2.41

**Energy relative to the elements, uncorrected**: -0.210 eV/atom
**Density**: 8.90 g/cm³

---

> Which formula does entry 2 have?

BiOsCl2

---

> Among the records above, which one has the highest density?

AsIrS